The following is a DFT calculation (GGA-PBE) of a relaxed structure of TaBrCl2.

The calculation puts the energy relative to the elements, uncorrected at -22.9 kcal/mol of atoms. The relative energy among the computed polymorphs is 0.000 eV/atom. Its crystal system is monoclinic.

It has space group C2/c (No. 15), with a = 16.4011 Å, b = 10.1459 Å, c = 17.1800 Å, α = 90.00°, β = 114.23° and γ = 90.00°. Symmetry generates all atoms from Ta at (0.0586, 0.1811, 0.3417), Ta at (0.0674, 0.3667, 0.2090), Br at (0.0855, 0.1607, 0.1227), Br at (0.1587, 0.0273, 0.4592), Cl at (0.0000, 0.0109, 0.7500), Cl at (0.0000, 0.4436, 0.7500), Cl at (0.0652, 0.3824, 0.4306), Cl at (0.1671, 0.4913, 0.6808) and Cl at (0.1914, 0.2791, 0.3332).


The following is a DFT calculation (GGA-PBE) of a relaxed structure of Th2ZnAu.

For the calculated formation energy, the calculation gives -361 meV/atom. Its crystal system is tetragonal.

It has space group P4/mmm (No. 123), with a = 3.7041 Å, b = 3.7041 Å, c = 7.3651 Å, α = 90.00°, β = 90.00° and γ = 90.00°. Symmetry generates all atoms from Th at (0.0000, 0.0000, 0.2465), Zn at (0.5000, 0.5000, 0.0000) and Au at (0.5000, 0.5000, 0.5000).


The following is a DFT calculation (GGA-PBE) of a relaxed structure of RbZn2Ga2.

The relative energy among the computed polymorphs is 0.000 eV/atom. For the calculated formation energy, the calculation gives 11 meV/atom. Its crystal system is tetragonal.

It has space group I4/mmm (No. 139), with a = 4.6062 Å, b = 4.6062 Å, c = 11.1147 Å, α = 90.00°, β = 90.00° and γ = 90.00°. Symmetry generates all atoms from Rb at (0.0000, 0.0000, 0.0000), Zn at (0.0000, 0.5000, 0.2500) and Ga at (0.0000, 0.0000, 0.3717).


What total magnetization values result from the calculations? In sequence: 0.13 0.00 0.00 μB per atom.